Entry from the Alexandria database: an optimized crystal structure of CrAs2W (GGA-PBE).

For the formation energy, the calculation gives 0.220 eV per atom. For the density of states at the Fermi level, the calculation gives 0.562 states/eV per atom. The calculation puts the energy at -7.749 eV per atom. The value obtained for the energy above the most stable polymorph in this dataset is 221 meV/atom. The calculated density is 9.7 g cm⁻³.

The structure belongs to space group R3m (No. 160, hexagonal axes); the cell edges are 3.0568, 3.0568 and 24.3692 Å and the angles 90.00°, 90.00° and 120.00°. The asymmetric unit holds Cr at (0.0000, 0.0000, 0.0000), As at (0.0000, 0.0000, 0.5088), As at (0.0000, 0.0000, 0.7363) and W at (0.0000, 0.0000, 0.2540).



Entry from the Alexandria database: an optimized crystal structure of Cr2AsW (GGA-PBE).

For the formation energy, the calculation gives 0.274 eV per atom. For the density of states at the Fermi level, the calculation gives 0.862 states/eV per atom. The calculation puts the energy at -8.938 eV per atom. The calculated density is 10.8 g cm⁻³.

The structure belongs to space group Pmm2 (No. 25); the cell edges are 2.887, 3.892 and 4.947 Å and the angles 90.00°, 90.00° and 90.00°. The asymmetric unit holds Cr at (0.000, 0.000, 0.000), Cr at (0.500, 0.500, 0.256), As at (0.500, 0.500, 0.767) and W at (0.000, 0.000, 0.490).



Look up the calculated density of the first one.
9.7 g cm⁻³